[1]
Ca2Tl2Ni: relaxed, PBE.

Cell lengths 7.257, 7.257, 5.029 Å; angles 90.00, 90.00, 90.00 degrees
Space group P4/mbm (No. 127)
Unique sites:
1 Ca 0.170 0.330 0.000 [4 per cell]
2 Tl 0.150 0.650 0.500 [4 per cell]
3 Ni 0.000 0.000 0.500 [2 per cell]

## Properties
total energy = -2.99 eV per atom

=====

[2]
Ca2TlNi: relaxed, PBE.

Cell lengths 7.153, 7.153, 7.153 Å; angles 90.00, 90.00, 90.00 degrees
Space group F-43m (No. 216)
Unique sites:
1 Ca 0.000 0.000 0.000 [4 per cell]
2 Ca 0.250 0.250 0.250 [4 per cell]
3 Tl 0.000 0.000 0.500 [4 per cell]
4 Ni 0.250 0.250 0.750 [4 per cell]

## Properties
total energy = -3.04 eV per atom

=====

[3]
Ca4Tl5Ni2: relaxed, PBE.

Cell lengths 7.893, 3.934, 9.452 Å; angles 90.00, 91.42, 90.00 degrees
Space group P2/m (No. 10)
Unique sites:
1 Ca 0.183 0.000 0.343 [2 per cell]
2 Ca 0.218 0.000 0.923 [2 per cell]
3 Tl 0.145 0.500 0.645 [2 per cell]
4 Tl 0.423 0.500 0.156 [2 per cell]
5 Tl 0.500 0.500 0.500 [1 per cell]
6 Ni 0.063 0.500 0.118 [2 per cell]

## Properties
total energy = -3.08 eV per atom

=====

[4]
Ca2TlNi: relaxed, PBE.

Cell lengths 4.597, 4.597, 9.076 Å; angles 90.00, 90.00, 90.00 degrees
Space group I-4m2 (No. 119)
Unique sites:
1 Ca 0.000 0.000 0.000 [2 per cell]
2 Ca 0.000 0.500 0.250 [2 per cell]
3 Tl 0.000 0.000 0.500 [2 per cell]
4 Ni 0.000 0.500 0.750 [2 per cell]

## Properties
total energy = -3.04 eV per atom

=====

[5]
Ca2TlNi: relaxed, PBE.

Cell lengths 3.8823, 3.8823, 25.5546 Å; angles 90.00, 90.00, 120.00 degrees
Space group R-3m (No. 166, hexagonal axes)
Unique sites:
1 Ca 0.0000 0.0000 0.2321 [6 per cell]
2 Tl 0.0000 0.0000 0.0000 [3 per cell]
3 Ni 0.0000 0.0000 0.5000 [3 per cell]

## Properties
total energy = -3.10 eV per atom

=====

[6]
CaTl2Ni: relaxed, PBE.

Cell lengths 9.316, 3.963, 6.208 Å; angles 90.00, 118.88, 90.00 degrees
Space group Cm (No. 8)
Unique sites:
1 Ca 0.000 0.000 0.000 [2 per cell]
2 Tl 0.187 0.000 0.667 [2 per cell]
3 Tl 0.393 0.000 0.327 [2 per cell]
4 Ni 0.223 0.500 0.402 [2 per cell]

## Properties
total energy = -3.19 eV per atom

=====

[7]
Ca2TlNi: relaxed, PBE.

Cell lengths 3.549, 3.521, 7.936 Å; angles 90.00, 90.08, 90.00 degrees
Space group P2/m (No. 10)
Unique sites:
1 Ca 0.000 0.000 0.211 [2 per cell]
2 Tl 0.500 0.500 0.500 [1 per cell]
3 Ni 0.500 0.500 0.000 [1 per cell]

## Properties
total energy = -3.22 eV per atom

=====

[8]
CaTlNi3: relaxed, PBE.

Cell lengths 4.642, 4.642, 4.642 Å; angles 90.00, 90.00, 90.00 degrees
Space group Pm-3m (No. 221)
Unique sites:
1 Ca 0.000 0.000 0.000 [1 per cell]
2 Tl 0.500 0.500 0.500 [1 per cell]
3 Ni 0.000 0.000 0.500 [3 per cell]

## Properties
distance to the lowest polymorph of the same formula = 264 kJ/mol of formula units

=====

[9]
Ca2TlNi: relaxed, PBE.

Cell lengths 4.510, 4.232, 11.254 Å; angles 90.00, 90.00, 90.00 degrees
Space group Amm2 (No. 38)
Unique sites:
1 Ca 0.000 0.000 0.000 [2 per cell]
2 Ca 0.500 0.000 0.293 [2 per cell]
3 Tl 0.000 0.000 0.709 [2 per cell]
4 Ni 0.500 0.000 0.581 [2 per cell]

## Properties
total energy = -3.21 eV per atom

=====

[10]
CaYTlNi: relaxed, PBE.

Cell lengths 7.280, 7.280, 7.280 Å; angles 90.00, 90.00, 90.00 degrees
Space group F-43m (No. 216)
Unique sites:
1 Ca 0.000 0.000 0.000 [4 per cell]
2 Y 0.000 0.000 0.500 [4 per cell]
3 Tl 0.250 0.250 0.750 [4 per cell]
4 Ni 0.250 0.250 0.250 [4 per cell]

## Properties
total energy = -4.35 eV per atom

=====

[11]
Ca2TlZnNi: relaxed, PBE.

Cell lengths 5.364, 5.364, 4.647 Å; angles 90.00, 90.00, 90.00 degrees
Space group P4/mmm (No. 123)
Unique sites:
1 Ca 0.000 0.500 0.000 [2 per cell]
2 Tl 0.000 0.000 0.500 [1 per cell]
3 Zn 0.500 0.500 0.500 [1 per cell]
4 Ni 0.500 0.500 0.000 [1 per cell]

## Properties
total energy = -2.81 eV per atom

=====

[12]
CaTlZn2Ni: relaxed, PBE.

Cell lengths 4.996, 4.996, 6.012 Å; angles 90.00, 90.00, 90.00 degrees
Space group P4/mmm (No. 123)
Unique sites:
1 Ca 0.000 0.000 0.000 [1 per cell]
2 Tl 0.000 0.000 0.500 [1 per cell]
3 Zn 0.000 0.500 0.500 [2 per cell]
4 Ni 0.500 0.500 0.000 [1 per cell]

## Properties
distance to the lowest polymorph of the same formula = 441 kJ/mol of formula units

=====

[13]
CaTlZn2Ni: relaxed, PBE.

Cell lengths 4.711, 4.711, 4.952 Å; angles 90.00, 90.00, 90.00 degrees
Space group P4/mmm (No. 123)
Unique sites:
1 Ca 0.000 0.000 0.000 [1 per cell]
2 Tl 0.500 0.500 0.000 [1 per cell]
3 Zn 0.000 0.500 0.500 [2 per cell]
4 Ni 0.500 0.500 0.500 [1 per cell]

## Properties
distance to the lowest polymorph of the same formula = 0 kJ/mol of formula units

=====

[14]
CaTmNi4: relaxed, PBE.

Cell lengths 7.139, 7.139, 7.139 Å; angles 90.00, 90.00, 90.00 degrees
Space group F-43m (No. 216)
Unique sites:
1 Ca 0.000 0.000 0.000 [4 per cell]
2 Tm 0.250 0.250 0.250 [4 per cell]
3 Ni 0.125 0.125 0.625 [16 per cell]

## Properties
total energy = -5.27 eV per atom

=====

[15]
CaTm12Ni6: relaxed, PBE.

Cell lengths 9.753, 9.753, 9.753 Å; angles 90.00, 90.00, 90.00 degrees
Space group Im-3 (No. 204)
Unique sites:
1 Ca 0.000 0.000 0.000 [2 per cell]
2 Tm 0.000 0.187 0.313 [24 per cell]
3 Ni 0.000 0.377 0.500 [12 per cell]

## Properties
total energy = -5.02 eV per atom

=====

[16]
CaTmNi10: relaxed, PBE.

Cell lengths 3.950, 4.889, 8.447 Å; angles 90.00, 90.00, 90.00 degrees
Space group Pmmm (No. 47)
Unique sites:
1 Ca 0.000 0.000 0.000 [1 per cell]
2 Tm 0.000 0.500 0.500 [1 per cell]
3 Ni 0.000 0.000 0.337 [2 per cell]
4 Ni 0.000 0.500 0.171 [2 per cell]
5 Ni 0.500 0.000 0.500 [1 per cell]
6 Ni 0.500 0.253 0.255 [4 per cell]
7 Ni 0.500 0.500 0.000 [1 per cell]

## Properties
total energy = -5.58 eV per atom

=====

[17]
Ca3TmNi8: relaxed, PBE.

Cell lengths 5.0739, 5.0739, 24.8031 Å; angles 90.00, 90.00, 120.00 degrees
Space group R3m (No. 160, hexagonal axes)
Unique sites:
1 Ca 0.0000 0.0000 0.0000 [3 per cell]
2 Ca 0.0000 0.0000 0.1239 [3 per cell]
3 Ca 0.0000 0.0000 0.6278 [3 per cell]
4 Tm 0.0000 0.0000 0.5016 [3 per cell]
5 Ni 0.0000 0.0000 0.3133 [3 per cell]
6 Ni 0.0000 0.0000 0.8137 [3 per cell]
7 Ni 0.0043 0.5022 0.0652 [9 per cell]
8 Ni 0.1683 0.3366 0.8948 [9 per cell]

## Properties
total energy = -4.99 eV per atom

=====

[18]
CaTm3Ni8: relaxed, PBE.

Cell lengths 5.0345, 5.0345, 24.6792 Å; angles 90.00, 90.00, 120.00 degrees
Space group R3m (No. 160, hexagonal axes)
Unique sites:
1 Ca 0.0000 0.0000 0.0000 [3 per cell]
2 Tm 0.0000 0.0000 0.3726 [3 per cell]
3 Tm 0.0000 0.0000 0.4983 [3 per cell]
4 Tm 0.0000 0.0000 0.8756 [3 per cell]
5 Ni 0.0000 0.0000 0.1866 [3 per cell]
6 Ni 0.0000 0.0000 0.6867 [3 per cell]
7 Ni 0.0034 0.5017 0.4380 [9 per cell]
8 Ni 0.1679 0.3358 0.2685 [9 per cell]

## Properties
total energy = -5.56 eV per atom

=====

[19]
CaUNi2: relaxed, PBE.

Cell lengths 3.342, 3.342, 7.011 Å; angles 90.00, 90.00, 90.00 degrees
Space group P4/mmm (No. 123)
Unique sites:
1 Ca 0.000 0.000 0.000 [1 per cell]
2 U 0.000 0.000 0.500 [1 per cell]
3 Ni 0.500 0.500 0.306 [2 per cell]

## Properties
total energy = -6.27 eV per atom

=====

[20]
CaUNi4: relaxed, PBE.

Cell lengths 7.124, 7.124, 7.124 Å; angles 90.00, 90.00, 90.00 degrees
Space group F-43m (No. 216)
Unique sites:
1 Ca 0.000 0.000 0.000 [4 per cell]
2 U 0.250 0.250 0.750 [4 per cell]
3 Ni 0.124 0.124 0.376 [16 per cell]

## Properties
total energy = -6.18 eV per atom